Record 1
BaB2PdF, relaxed, DFT GGA-PBE; E_tot = -3.100 eV per atom
1.0
5.4505 0.0000 0.0000
0.0000 4.6905 0.0000
0.0000 0.0000 5.4505
Ba B Pd F
1 2 1 1
Direct
0.0000 0.0000 0.0000
0.5000 0.0000 0.0000
0.0000 0.0000 0.5000
0.5000 0.5000 0.5000
0.0000 0.5000 0.0000

Record 2
RbBaBF6, relaxed, DFT GGA-PBE; E_tot = -5.559 eV per atom
1.0
-2.0472 6.3601 3.0086
-1.2210 3.3118 6.7059
4.7858 1.0717 -0.2729
F B Rb Ba
6 1 1 1
Direct
0.1891 0.9651 0.8099
0.3683 0.0960 0.4314
0.6064 0.0669 0.1147
0.1739 0.5073 0.3095
0.6870 0.4802 0.2910
0.6120 0.1763 0.5691
0.4418 0.2095 0.3578
0.8086 0.5701 0.8262
0.1127 0.9288 0.2904

Record 3
RbBaB2F8, relaxed, DFT GGA-PBE; E_tot = -5.512 eV per atom
1.0
5.3918 0.0000 0.0000
2.6959 4.6695 0.0000
2.6959 1.5565 8.3141
F Ba Rb B
8 1 1 2
Direct
0.5795 0.5795 0.8328
0.0083 0.5795 0.8328
0.9917 0.4205 0.1672
0.2011 0.2011 0.3967
0.7989 0.7989 0.6033
0.4205 0.4205 0.1672
0.4205 0.9917 0.1672
0.5795 0.0083 0.8328
0.0000 0.0000 0.0000
0.5000 0.5000 0.5000
0.2570 0.2570 0.2290
0.7430 0.7430 0.7710

Record 4
Rb2BaBF6, relaxed, DFT GGA-PBE; E_tot = -4.603 eV per atom
1.0
-1.0598 2.5000 -5.6236
-0.3078 -5.7208 -2.4852
-5.6704 -1.7277 -3.1668
F Ba Rb B
6 1 2 1
Direct
0.7117 0.2883 0.0000
0.7117 0.7117 0.0000
0.2883 0.2883 0.0000
0.6396 0.6396 0.7208
0.2883 0.7117 0.0000
0.3604 0.3604 0.2792
0.0000 0.0000 0.0000
0.7500 0.2500 0.5000
0.2500 0.7500 0.5000
0.5000 0.5000 0.0000

Record 5
BaBS2F, relaxed, DFT GGA-PBE; E_tot = -3.657 eV per atom
1.0
-4.2653 -3.2555 0.3538
2.2922 -2.8944 1.0015
-0.5846 1.3286 5.1778
Ba S F B
1 2 1 1
Direct
0.5000 0.5000 0.5000
0.0000 0.0000 0.5000
0.5000 0.0000 0.0000
0.0000 0.0000 0.0000
0.0000 0.5000 0.0000

Record 6
Ba2BSbF, relaxed, DFT GGA-PBE; E_tot = -3.267 eV per atom
1.0
-5.9527 -0.3434 -2.9402
0.2316 -4.5307 0.0604
-2.9407 -0.0708 5.9619
Sb F Ba B
1 1 2 1
Direct
0.0000 0.0000 0.0000
0.0000 0.5000 0.0000
0.0000 0.0000 0.5000
0.5000 0.0000 0.0000
0.5000 0.5000 0.5000

Record 7
BaScBF2, relaxed, DFT GGA-PBE; E_tot = -3.612 eV per atom
1.0
-0.7902 0.1580 -4.5093
-1.1813 -5.0821 0.0290
-4.3912 1.0253 0.8055
F B Ba Sc
2 1 1 1
Direct
0.0000 0.0000 0.5000
0.5000 0.0000 0.0000
0.0000 0.0000 0.0000
0.0000 0.5000 0.0000
0.5000 0.5000 0.5000

Record 8
Ba2ZnBF, relaxed, DFT GGA-PBE; E_tot = -3.297 eV per atom
1.0
6.0707 0.0000 0.0000
0.0000 3.8903 0.0000
0.0000 0.0000 6.0707
Ba Zn F B
2 1 1 1
Direct
0.5000 0.0000 0.0000
0.0000 0.0000 0.5000
0.0000 0.0000 0.0000
0.5000 0.5000 0.5000
0.0000 0.5000 0.0000

Record 9
Ba3FeB, relaxed, DFT GGA-PBE; energy relative to the lowest polymorph listed for this composition = 0 meV/atom; DFT formation energy = 0.89 eV/atom
1.0
-2.8028 5.1766 -0.0289
-3.9287 -2.1056 3.8452
3.3710 1.8501 4.4573
Ba Fe B
3 1 1
Direct
0.5000 0.0000 0.0000
0.0000 0.5000 0.0000
0.0000 0.0000 0.5000
0.5000 0.5000 0.5000
0.0000 0.0000 0.0000

Record 10
BaFeB3, relaxed, DFT GGA-PBE; energy relative to the lowest polymorph listed for this composition = 3063 meV/atom; DFT formation energy = 3.55 eV/atom
1.0
4.7554 0.0000 0.0000
0.0000 4.7554 0.0000
0.0000 0.0000 4.7554
B Fe Ba
3 1 1
Direct
0.0000 0.5000 0.0000
0.0000 0.0000 0.5000
0.5000 0.0000 0.0000
0.5000 0.5000 0.5000
0.0000 0.0000 0.0000

Record 11
BaFeB3, relaxed, DFT GGA-PBE; energy relative to the lowest polymorph listed for this composition = 0 meV/atom; DFT formation energy = 0.48 eV/atom
1.0
-0.0785 -1.4400 -3.8063
-1.2582 -3.6119 1.3924
-3.8702 1.2034 -0.3755
B Ba Fe
3 1 1
Direct
0.0000 0.0000 0.5000
0.0000 0.5000 0.0000
0.5000 0.0000 0.0000
0.5000 0.5000 0.5000
0.0000 0.0000 0.0000

Record 12
Ba2FeHgB, relaxed, DFT GGA-PBE; DFT formation energy = 0.81 eV/atom
1.0
6.4813 0.0000 0.0000
0.0000 4.1599 0.0000
0.0000 0.0000 6.4813
Ba Hg Fe B
2 1 1 1
Direct
0.0000 0.0000 0.5000
0.5000 0.0000 0.0000
0.0000 0.0000 0.0000
0.5000 0.5000 0.5000
0.0000 0.5000 0.0000

Record 13
BaFeHgB2, relaxed, DFT GGA-PBE; DFT formation energy = 1.66 eV/atom
1.0
-1.7218 3.9553 0.8756
-2.8716 -0.3030 -4.2780
-3.2270 -1.9143 2.3017
B Hg Ba Fe
2 1 1 1
Direct
0.5000 0.0000 0.0000
0.0000 0.0000 0.5000
0.0000 0.0000 0.0000
0.5000 0.5000 0.5000
0.0000 0.5000 0.0000

Record 14
Ba2LaFeB, relaxed, DFT GGA-PBE; DFT formation energy = 0.59 eV/atom
1.0
6.2284 0.0000 0.0000
0.0000 3.9790 0.0000
0.0000 0.0000 6.2284
Fe La B Ba
1 1 1 2
Direct
0.0000 0.5000 0.0000
0.5000 0.5000 0.5000
0.0000 0.0000 0.0000
0.5000 0.0000 0.0000
0.0000 0.0000 0.5000

Record 15
Ba2LiFeB, relaxed, DFT GGA-PBE; DFT formation energy = 0.82 eV/atom
1.0
5.7591 0.0000 0.0000
0.0000 5.7591 0.0000
0.0000 0.0000 4.3960
Ba B Fe Li
2 1 1 1
Direct
0.5000 0.0000 0.0000
0.0000 0.5000 0.0000
0.0000 0.0000 0.0000
0.5000 0.5000 0.5000
0.0000 0.0000 0.5000

Record 16
BaMn2FeB, relaxed, DFT GGA-PBE; DFT formation energy = 0.59 eV/atom
1.0
-0.7393 3.0358 -2.9916
-4.0891 -0.4867 0.5166
0.0271 3.0396 3.0778
B Mn Ba Fe
1 2 1 1
Direct
0.0000 0.0000 0.0000
0.5000 0.0000 0.0000
0.0000 0.0000 0.5000
0.5000 0.5000 0.5000
0.0000 0.5000 0.0000

Record 17
Ba2FeBN, relaxed, DFT GGA-PBE; E_tot = -4.681 eV per atom
1.0
-1.5253 -4.5199 -3.5684
0.9803 -1.9014 1.9893
-5.4006 -0.1588 2.5096
Fe Ba B N
1 2 1 1
Direct
0.5000 0.5000 0.5000
0.5000 0.0000 0.0000
0.0000 0.0000 0.5000
0.0000 0.0000 0.0000
0.0000 0.5000 0.0000

no.,calculated volume (Å³ per atom)
1,27.87
2,18.55
3,17.44
4,19.76
5,22.12
6,40.10
7,21.90
8,28.67
9,40.80
10,21.51
11,13.49
12,34.95
13,20.00
14,30.87
15,29.16
16,15.53
17,20.73